(1)
Compound: NdNpRu
Source: the Alexandria database
Functional: PBE-GGA
Structure: relaxed

Properties
Uncorrected energy (eV per atom): -8.477
Density (g/cm3): 12.77
Fermi-level density of states (states/eV/f.u.): 5.34

Cell: 12.5102 12.0539 4.9056 Å, 83.76 73.30 22.94°
Fractional positions:
Nd 0.0478 0.7022 0.0478
Nd 0.2978 0.9522 0.2978
Nd 0.7022 0.0478 0.7022
Nd 0.9522 0.2978 0.9522
Np 0.0009 0.0009 0.7491
Np 0.2509 0.2509 0.9991
Np 0.7491 0.7491 0.0009
Np 0.9991 0.9991 0.2509
Ru 0.3123 0.3123 0.4377
Ru 0.4377 0.4377 0.3123
Ru 0.5623 0.5623 0.6877
Ru 0.6877 0.6877 0.5623

=====

(2)
Compound: Mg4W5
Source: the Alexandria database
Functional: PBE-GGA
Structure: relaxed

Properties
Uncorrected energy (eV per atom): -7.458
Density (g/cm3): 11.11
Fermi-level density of states (states/eV/f.u.): 5.92

Cell: 6.8575 6.8575 6.8575 Å, 93.63 93.63 150.86°
Fractional positions:
Mg 0.0000 0.3273 0.3273
Mg 0.0000 0.6727 0.6727
Mg 0.3273 0.0000 0.3273
Mg 0.6727 0.0000 0.6727
W 0.0000 0.0000 0.0000
W 0.3308 0.3308 0.6616
W 0.3308 0.6692 0.0000
W 0.6692 0.3308 0.0000
W 0.6692 0.6692 0.3384

=====

(3)
Compound: LaSmAgPd
Source: the Alexandria database
Functional: PBE-GGA
Structure: relaxed

Properties
Uncorrected energy (eV per atom): -4.948
Density (g/cm3): 7.96
Fermi-level density of states (states/eV/f.u.): 3.31

Cell: 4.8627 5.8315 5.8315 Å, 39.42 90.00 90.00°
Fractional positions:
La 0.0000 0.0000 0.0000
Sm 0.5000 0.2769 0.2769
Ag 0.5000 0.5608 0.5608
Pd 0.0000 0.7240 0.7240

=====

(4)
Compound: NdNpSi2O8
Source: the Alexandria database
Functional: PBE-GGA
Structure: relaxed

Properties
E_form (uncorrected) (eV per atom): -2.928
Uncorrected energy (eV per atom): -8.613
Density (g/cm3): 6.05
Fermi-level density of states (states/eV/f.u.): 8.17

Cell: 5.8828 5.8828 5.8828 Å, 106.34 106.34 115.93°
Fractional positions:
Nd 0.0000 0.0000 0.0000
Np 0.7500 0.2500 0.5000
Si 0.2500 0.7500 0.5000
Si 0.5000 0.5000 0.0000
O 0.0734 0.4008 0.3274
O 0.0734 0.7461 0.6726
O 0.1515 0.3375 0.8140
O 0.2539 0.9266 0.3274
O 0.5235 0.3375 0.1860
O 0.5992 0.9266 0.6726
O 0.6625 0.4765 0.8140
O 0.6625 0.8485 0.1860

=====

(5)
Compound: MgOs2Pt
Source: the Alexandria database
Functional: PBE-GGA
Structure: relaxed

Properties
Uncorrected energy (eV per atom): -7.370
Density (g/cm3): 16.33
Fermi-level density of states (states/eV/f.u.): 4.92

Cell: 2.7820 4.5748 4.7913 Å, 90.00 90.00 90.00°
Fractional positions:
Mg 0.0000 0.0000 0.0000
Os 0.0000 0.5000 0.5000
Os 0.5000 0.0000 0.5000
Pt 0.5000 0.5000 0.0000

=====

(6)
Compound: Er3MnTl4Se8
Source: the Alexandria database
Functional: PBE-GGA
Structure: relaxed

Properties
E_form (uncorrected) (eV per atom): -1.108
Uncorrected energy (eV per atom): -4.871
Density (g/cm3): 7.49
Fermi-level density of states (states/eV/f.u.): 3.66

Cell: 9.0002 9.0002 9.0002 Å, 54.12 54.12 54.12°
Fractional positions:
Er 0.0000 0.5000 0.5000
Er 0.5000 0.0000 0.5000
Er 0.5000 0.5000 0.0000
Mn 0.0000 0.0000 0.0000
Tl 0.0000 0.0000 0.5000
Tl 0.0000 0.5000 0.0000
Tl 0.5000 0.0000 0.0000
Tl 0.5000 0.5000 0.5000
Se 0.2257 0.2257 0.7469
Se 0.2257 0.7469 0.2257
Se 0.2531 0.7743 0.7743
Se 0.2646 0.2646 0.2646
Se 0.7354 0.7354 0.7354
Se 0.7469 0.2257 0.2257
Se 0.7743 0.2531 0.7743
Se 0.7743 0.7743 0.2531